DFT (GGA-PBEsol) results for BaSiSe2 after structural relaxation.

The structure belongs to space group Imm2 (No. 44); the cell edges are 3.7427, 5.0552 and 10.5481 Å and the angles 90.00°, 90.00° and 90.00°. The distinct sites, in fractional coordinates, are Ba at (0.0000, 0.0000, 0.0000), Si at (0.0000, 0.5000, 0.2358), Se at (0.0000, 0.0000, 0.5702) and Se at (0.0000, 0.5000, 0.7794).

For the density of states at the Fermi level, the calculation gives 2.37 states/eV/cell. The energy above the most stable polymorph in this dataset is 0.000 eV per atom.


DFT (GGA-PBEsol) results for Ba2SiSe after structural relaxation.

The structure belongs to space group Fm-3m (No. 225); the cell edges are 7.9567, 7.9567 and 7.9567 Å and the angles 90.00°, 90.00° and 90.00°. The distinct sites, in fractional coordinates, are Ba at (0.2500, 0.2500, 0.2500), Si at (0.0000, 0.0000, 0.0000) and Se at (0.0000, 0.0000, 0.5000).

For the density of states at the Fermi level, the calculation gives 14.78 states/eV/cell. As for the total energy: -16.778 eV/f.u.


DFT (GGA-PBEsol) results for BaSiSe2 after structural relaxation.

The structure belongs to space group R-3m (No. 166, hexagonal axes); the cell edges are 4.8566, 4.8566 and 24.0393 Å and the angles 90.00°, 90.00° and 120.00°. The distinct sites, in fractional coordinates, are Ba at (0.0000, 0.0000, 0.0000), Si at (0.0000, 0.0000, 0.5000) and Se at (0.0000, 0.0000, 0.4011).

For the density of states at the Fermi level, the calculation gives 3.75 states/eV/cell. The energy above the most stable polymorph in this dataset is 0.227 eV per atom.


DFT (GGA-PBEsol) results for BaSm2Se4 after structural relaxation.

The structure belongs to space group Pnma (No. 62); the cell edges are 12.5558, 4.2475 and 15.2358 Å and the angles 90.00°, 90.00° and 90.00°. The distinct sites, in fractional coordinates, are Ba at (0.2469, 0.2500, 0.1614), Sm at (0.0732, 0.2500, 0.8971), Sm at (0.0796, 0.2500, 0.3951), Se at (0.0148, 0.7500, 0.7814), Se at (0.0772, 0.2500, 0.5826), Se at (0.1357, 0.7500, 0.0201) and Se at (0.2129, 0.7500, 0.3259).

As for the total energy: -41.471 eV/f.u.


DFT (GGA-PBEsol) results for BaSnSe3 after structural relaxation.

The structure belongs to space group Pm-3m (No. 221); the cell edges are 5.2772, 5.2772 and 5.2772 Å and the angles 90.00°, 90.00° and 90.00°. The distinct sites, in fractional coordinates, are Ba at (0.0000, 0.0000, 0.0000), Sn at (0.5000, 0.5000, 0.5000) and Se at (0.0000, 0.5000, 0.5000).

For the density of states at the Fermi level, the calculation gives 2.52 states/eV/cell. As for the total energy: -22.258 eV/f.u.


DFT (GGA-PBEsol) results for BaSr2Se after structural relaxation.

The structure belongs to space group Cmm2 (No. 35); the cell edges are 5.5633, 5.5901 and 10.5963 Å and the angles 90.00°, 90.00° and 90.00°. The distinct sites, in fractional coordinates, are Ba at (0.0000, 0.0000, 0.0000), Sr at (0.0000, 0.0000, 0.6560), Sr at (0.0000, 0.5000, 0.3399) and Se at (0.0000, 0.5000, 0.8189).

For the density of states at the Fermi level, the calculation gives 6.38 states/eV/cell. The energy above the most stable polymorph in this dataset is 0.070 eV per atom.


DFT (GGA-PBEsol) results for BaSr2Se2 after structural relaxation.

The structure belongs to space group I4/mmm (No. 139); the cell edges are 5.5882, 5.5882 and 12.2669 Å and the angles 90.00°, 90.00° and 90.00°. The distinct sites, in fractional coordinates, are Ba at (0.0000, 0.0000, 0.0000), Sr at (0.0000, 0.0000, 0.3335) and Se at (0.0000, 0.5000, 0.2500).

For the density of states at the Fermi level, the calculation gives 3.44 states/eV/cell. The energy above the most stable polymorph in this dataset is 0.000 eV per atom.


DFT (GGA-PBEsol) results for BaSr2Se after structural relaxation.

The structure belongs to space group R3m (No. 160, hexagonal axes); the cell edges are 4.3231, 4.3231 and 33.3838 Å and the angles 90.00°, 90.00° and 120.00°. The distinct sites, in fractional coordinates, are Ba at (0.0000, 0.0000, 0.0000), Sr at (0.0000, 0.0000, 0.5523), Sr at (0.0000, 0.0000, 0.7782) and Se at (0.0000, 0.0000, 0.2720).

For the density of states at the Fermi level, the calculation gives 10.07 states/eV/cell. The energy above the most stable polymorph in this dataset is 0.000 eV per atom.


DFT (GGA-PBEsol) results for BaSr2Se after structural relaxation.

The structure belongs to space group F-43m (No. 216); the cell edges are 8.4996, 8.4996 and 8.4996 Å and the angles 90.00°, 90.00° and 90.00°. The distinct sites, in fractional coordinates, are Ba at (0.0000, 0.0000, 0.0000), Sr at (0.0000, 0.0000, 0.5000), Sr at (0.2500, 0.2500, 0.2500) and Se at (0.2500, 0.2500, 0.7500).

For the density of states at the Fermi level, the calculation gives 18.92 states/eV/cell. The energy above the most stable polymorph in this dataset is 0.607 eV per atom.


DFT (GGA-PBEsol) results for BaSr2Se2 after structural relaxation.

The structure belongs to space group I4/mmm (No. 139); the cell edges are 4.8124, 4.8124 and 14.4383 Å and the angles 90.00°, 90.00° and 90.00°. The distinct sites, in fractional coordinates, are Ba at (0.0000, 0.0000, 0.0000), Sr at (0.0000, 0.5000, 0.2500) and Se at (0.0000, 0.0000, 0.3833).

For the density of states at the Fermi level, the calculation gives 5.05 states/eV/cell. The energy above the most stable polymorph in this dataset is 0.088 eV per atom.


DFT (GGA-PBEsol) results for BaTa2Se after structural relaxation.

The structure belongs to space group Pmmm (No. 47); the cell edges are 3.3178, 5.0092 and 5.3717 Å and the angles 90.00°, 90.00° and 90.00°. The distinct sites, in fractional coordinates, are Ba at (0.0000, 0.0000, 0.0000), Ta at (0.0000, 0.5000, 0.5000), Ta at (0.5000, 0.0000, 0.5000) and Se at (0.5000, 0.5000, 0.0000).

For the density of states at the Fermi level, the calculation gives 5.34 states/eV/cell. As for the total energy: -28.390 eV/f.u.


DFT (GGA-PBEsol) results for BaTa2Se after structural relaxation.

The structure belongs to space group Imm2 (No. 44); the cell edges are 3.1775, 6.1179 and 10.1858 Å and the angles 90.00°, 90.00° and 90.00°. The distinct sites, in fractional coordinates, are Ba at (0.0000, 0.0000, 0.0000), Ta at (0.0000, 0.0000, 0.5273), Ta at (0.0000, 0.5000, 0.8152) and Se at (0.0000, 0.5000, 0.2252).

For the density of states at the Fermi level, the calculation gives 8.57 states/eV/cell. As for the total energy: -28.868 eV/f.u.


DFT (GGA-PBEsol) results for BaTa2Se after structural relaxation.

The structure belongs to space group C2/m (No. 12); the cell edges are 5.9159, 10.2741 and 3.6493 Å and the angles 90.00°, 127.19° and 90.00°. The distinct sites, in fractional coordinates, are Ba at (0.0000, 0.0000, 0.0000), Ta at (0.2500, 0.2500, 0.5000) and Se at (0.0000, 0.5000, 0.0000).

For the density of states at the Fermi level, the calculation gives 7.67 states/eV/cell. As for the total energy: -28.752 eV/f.u.


DFT (GGA-PBEsol) results for Ba2TaSe after structural relaxation.

The structure belongs to space group Pmmm (No. 47); the cell edges are 4.2772, 5.0352 and 6.6472 Å and the angles 90.00°, 90.00° and 90.00°. The distinct sites, in fractional coordinates, are Ba at (0.0000, 0.0000, 0.0000), Ba at (0.5000, 0.5000, 0.5000), Ta at (0.0000, 0.0000, 0.5000) and Se at (0.5000, 0.5000, 0.0000).

For the density of states at the Fermi level, the calculation gives 2.67 states/eV/cell. As for the total energy: -19.335 eV/f.u.


DFT (GGA-PBEsol) results for BaTc2Se after structural relaxation.

The structure belongs to space group R3m (No. 160, hexagonal axes); the cell edges are 4.1757, 4.1757 and 18.1625 Å and the angles 90.00°, 90.00° and 120.00°. The distinct sites, in fractional coordinates, are Ba at (0.0000, 0.0000, 0.0000), Tc at (0.0000, 0.0000, 0.4913), Tc at (0.0000, 0.0000, 0.8035) and Se at (0.0000, 0.0000, 0.2138).

For the density of states at the Fermi level, the calculation gives 2.27 states/eV/cell. As for the total energy: -29.150 eV/f.u.


DFT (GGA-PBEsol) results for BaTcSe3 after structural relaxation.

The structure belongs to space group Pm-3m (No. 221); the cell edges are 4.9755, 4.9755 and 4.9755 Å and the angles 90.00°, 90.00° and 90.00°. The distinct sites, in fractional coordinates, are Ba at (0.0000, 0.0000, 0.0000), Tc at (0.5000, 0.5000, 0.5000) and Se at (0.0000, 0.5000, 0.5000).

For the density of states at the Fermi level, the calculation gives 6.10 states/eV/cell. As for the total energy: -28.436 eV/f.u.


DFT (GGA-PBEsol) results for BaTcSe2 after structural relaxation.

The structure belongs to space group P2/m (No. 10); the cell edges are 4.1596, 3.7530 and 6.9209 Å and the angles 90.00°, 90.68° and 90.00°. The distinct sites, in fractional coordinates, are Ba at (0.0000, 0.0000, 0.0000), Tc at (0.5000, 0.0000, 0.5000) and Se at (0.4927, 0.5000, 0.7426).

For the density of states at the Fermi level, the calculation gives 1.97 states/eV/cell. The energy above the most stable polymorph in this dataset is 0.062 eV per atom.


DFT (GGA-PBEsol) results for BaTcSe2 after structural relaxation.

The structure belongs to space group Immm (No. 71); the cell edges are 3.8555, 6.1660 and 8.3436 Å and the angles 90.00°, 90.00° and 90.00°. The distinct sites, in fractional coordinates, are Ba at (0.0000, 0.0000, 0.0000), Tc at (0.0000, 0.0000, 0.5000) and Se at (0.0000, 0.5000, 0.1848).

For the density of states at the Fermi level, the calculation gives 7.36 states/eV/cell. The energy above the most stable polymorph in this dataset is 0.000 eV per atom.


DFT (GGA-PBEsol) results for BaTcSe2 after structural relaxation.

The structure belongs to space group P4mm (No. 99); the cell edges are 3.2527, 3.2527 and 8.8593 Å and the angles 90.00°, 90.00° and 90.00°. The distinct sites, in fractional coordinates, are Ba at (0.0000, 0.0000, 0.0000), Tc at (0.5000, 0.5000, 0.7126), Se at (0.0000, 0.0000, 0.5982) and Se at (0.5000, 0.5000, 0.2616).

For the density of states at the Fermi level, the calculation gives 2.85 states/eV/cell. The energy above the most stable polymorph in this dataset is 0.421 eV per atom.


DFT (GGA-PBEsol) results for BaTcSe2 after structural relaxation.

The structure belongs to space group R-3m (No. 166, hexagonal axes); the cell edges are 4.9034, 4.9034 and 23.9781 Å and the angles 90.00°, 90.00° and 120.00°. The distinct sites, in fractional coordinates, are Ba at (0.0000, 0.0000, 0.0000), Tc at (0.0000, 0.0000, 0.5000) and Se at (0.0000, 0.0000, 0.3995).

For the density of states at the Fermi level, the calculation gives 5.72 states/eV/cell. The energy above the most stable polymorph in this dataset is 0.550 eV per atom.


DFT (GGA-PBEsol) results for BaTc2Se2 after structural relaxation.

The structure belongs to space group I4/mmm (No. 139); the cell edges are 4.7131, 4.7131 and 9.1698 Å and the angles 90.00°, 90.00° and 90.00°. The distinct sites, in fractional coordinates, are Ba at (0.0000, 0.0000, 0.0000), Tc at (0.0000, 0.0000, 0.3780) and Se at (0.0000, 0.5000, 0.2500).

For the density of states at the Fermi level, the calculation gives 6.44 states/eV/cell. As for the total energy: -33.966 eV/f.u.


DFT (GGA-PBEsol) results for BaZn2TcSe after structural relaxation.

The structure belongs to space group P4/mmm (No. 123); the cell edges are 4.8471, 4.8471 and 5.9975 Å and the angles 90.00°, 90.00° and 90.00°. The distinct sites, in fractional coordinates, are Ba at (0.0000, 0.0000, 0.0000), Zn at (0.0000, 0.5000, 0.5000), Tc at (0.5000, 0.5000, 0.0000) and Se at (0.0000, 0.0000, 0.5000).

For the density of states at the Fermi level, the calculation gives 4.97 states/eV/cell. As for the total energy: -15.650 eV/f.u.


DFT (GGA-PBEsol) results for BaZr2TcSe after structural relaxation.

The structure belongs to space group P4/mmm (No. 123); the cell edges are 4.8570, 4.8570 and 5.8277 Å and the angles 90.00°, 90.00° and 90.00°. The distinct sites, in fractional coordinates, are Ba at (0.0000, 0.0000, 0.0000), Zr at (0.0000, 0.5000, 0.5000), Tc at (0.5000, 0.5000, 0.5000) and Se at (0.5000, 0.5000, 0.0000).

For the density of states at the Fermi level, the calculation gives 6.05 states/eV/cell. As for the total energy: -34.375 eV/f.u.


DFT (GGA-PBEsol) results for Ba2TeSe after structural relaxation.

The structure belongs to space group P4/mmm (No. 123); the cell edges are 4.7984, 4.7984 and 6.7879 Å and the angles 90.00°, 90.00° and 90.00°. The distinct sites, in fractional coordinates, are Ba at (0.0000, 0.0000, 0.0000), Ba at (0.5000, 0.5000, 0.5000), Te at (0.0000, 0.0000, 0.5000) and Se at (0.5000, 0.5000, 0.0000).

For the density of states at the Fermi level, the calculation gives 0.00 states/eV/cell. The energy above the most stable polymorph in this dataset is 0.024 eV per atom.


DFT (GGA-PBEsol) results for BaTeSe2 after structural relaxation.

The structure belongs to space group Cmmm (No. 65); the cell edges are 4.5076, 6.8348 and 7.8199 Å and the angles 90.00°, 90.00° and 90.00°. The distinct sites, in fractional coordinates, are Ba at (0.0000, 0.0000, 0.0000), Te at (0.0000, 0.0000, 0.5000) and Se at (0.0000, 0.5000, 0.2688).

For the density of states at the Fermi level, the calculation gives 3.24 states/eV/cell. As for the total energy: -15.951 eV/f.u.


DFT (GGA-PBEsol) results for Ba2TeSe after structural relaxation.

The structure belongs to space group R-3m (No. 166, hexagonal axes); the cell edges are 4.7787, 4.7787 and 23.5218 Å and the angles 90.00°, 90.00° and 120.00°. The distinct sites, in fractional coordinates, are Ba at (0.0000, 0.0000, 0.2451), Te at (0.0000, 0.0000, 0.0000) and Se at (0.0000, 0.0000, 0.5000).

For the density of states at the Fermi level, the calculation gives 0.00 states/eV/cell. The energy above the most stable polymorph in this dataset is 0.000 eV per atom.


DFT (GGA-PBEsol) results for BaTeSe2 after structural relaxation.

The structure belongs to space group R-3m (No. 166, hexagonal axes); the cell edges are 4.4250, 4.4250 and 26.8699 Å and the angles 90.00°, 90.00° and 120.00°. The distinct sites, in fractional coordinates, are Ba at (0.0000, 0.0000, 0.0000), Te at (0.0000, 0.0000, 0.5000) and Se at (0.0000, 0.0000, 0.1175).

For the density of states at the Fermi level, the calculation gives 8.39 states/eV/cell. As for the total energy: -14.184 eV/f.u.


DFT (GGA-PBEsol) results for BaTeSe2 after structural relaxation.

The structure belongs to space group Immm (No. 71); the cell edges are 4.3073, 5.8899 and 8.9420 Å and the angles 90.00°, 90.00° and 90.00°. The distinct sites, in fractional coordinates, are Ba at (0.0000, 0.0000, 0.0000), Te at (0.0000, 0.0000, 0.5000) and Se at (0.0000, 0.5000, 0.2012).

For the density of states at the Fermi level, the calculation gives 0.78 states/eV/cell. As for the total energy: -17.335 eV/f.u.


DFT (GGA-PBEsol) results for BaTeSe2 after structural relaxation.

The structure belongs to space group Pm (No. 6); the cell edges are 4.2693, 5.3572 and 5.3569 Å and the angles 90.00°, 90.02° and 90.00°. The distinct sites, in fractional coordinates, are Ba at (0.0000, 0.0000, 0.0000), Te at (0.3442, 0.5000, 0.5021), Se at (0.5057, 0.0000, 0.5002) and Se at (0.5057, 0.5000, 0.0011).

For the density of states at the Fermi level, the calculation gives 0.80 states/eV/cell. As for the total energy: -17.539 eV/f.u.